PBE+U FeBrF2, optimized geometry; ρ = 3.6 g cm⁻³; energy above the lowest structure with this stoichiometry = 0.205 eV per atom; V = 20.00 A^3/atom; electronic total energy = -4.18 eV per atom; symmetry = No. 166
1.0
1.5880 0.9169 9.1582
-1.5880 0.9169 9.1582
0.0000 -1.8337 9.1582
Fe Br F
1 1 2
Direct
0.0000 0.0000 0.0000
0.5000 0.5000 0.5000
0.3696 0.3696 0.3696
0.6304 0.6304 0.6304